The following is a PBE-GGA calculation of ScI2Cl after structural relaxation, from the Alexandria database.

Cell lengths 8.4512, 8.4512, 4.9928 Å; angles 91.07, 91.07, 28.00 degrees
Sites, in units of the cell vectors:
Sc: 0.0000 0.0000 0.0000
I: 0.3746 0.3746 0.9920
I: 0.6254 0.6254 0.0080
Cl: 0.0000 0.0000 0.5000

Results
**Formation energy without anion corrections**: -1.490 eV/atom
**Offset from the most stable computed form**: 0 meV per atom
**Calculated total energy**: -17.2 eV per cell